Here is a relaxed Ac3Nd4Sm crystal from Alexandria. Energies are from GGA-PBE.

Cell: 6.592 7.670 12.283 Å, 90.00 90.00 90.00°
Positions (direct):
1 Sm 0.141 0.369 0.000
2 Sm 0.641 0.631 0.500
3 Nd 0.153 0.891 0.000
4 Nd 0.478 0.879 0.747
5 Nd 0.156 0.880 0.500
6 Nd 0.653 0.109 0.500
7 Nd 0.978 0.121 0.247
8 Nd 0.478 0.879 0.253
9 Nd 0.978 0.121 0.753
10 Nd 0.656 0.120 0.000
11 Ac 0.987 0.635 0.248
12 Ac 0.487 0.365 0.748
13 Ac 0.987 0.635 0.752
14 Ac 0.487 0.365 0.252
15 Ac 0.635 0.630 0.000
16 Ac 0.135 0.370 0.500

Summary:
- theoretical density (g cm⁻³) = 7.532
- formation energy from the elements (eV per atom) = 0.050
- calculated total energy (eV per cell) = -71.42
- energy relative to the lowest polymorph listed for this composition (meV/atom) = 21
- total magnetization (μB/cell) = 0.000